The following is a PBE-GGA calculation of a relaxed SrTm2Pt9 crystal, from the Alexandria database. Values from VASP.

Computed properties:
Total magnetic moment, μB per atom: 0.000
Calculated formation energy, meV/atom: -875
Space-group type: No. 166

Structure (Quantum ESPRESSO input):
```
&SYSTEM
  ibrav = 0, nat = 12, ntyp = 3
/
ATOMIC_SPECIES
Sr 87.62 Sr.upf
Tm 168.93 Tm.upf
Pt 195.08 Pt.upf
CELL_PARAMETERS angstrom
2.728 1.575 8.777
-2.728 1.575 8.777
0.000 -3.150 8.777
ATOMIC_POSITIONS crystal
Sr 0.000 0.000 0.000
Tm 0.140 0.140 0.140
Tm 0.860 0.860 0.860
Pt 0.081 0.589 0.589
Pt 0.332 0.332 0.332
Pt 0.411 0.411 0.919
Pt 0.411 0.919 0.411
Pt 0.500 0.500 0.500
Pt 0.589 0.081 0.589
Pt 0.589 0.589 0.081
Pt 0.668 0.668 0.668
Pt 0.919 0.411 0.411
```